1.
This record from Alexandria via LeMat-Bulk describes TbPm2Ag after structural relaxation. The functional is PBE-GGA.

Cell lengths 3.621, 3.621, 10.872 Å; angles 80.41, 80.41, 60.00 degrees
Positions (direct):
Pm (0.258, 0.258, 0.226)
Ag (0.000, 0.000, 0.000)
Pm (0.742, 0.742, 0.774)
Tb (0.500, 0.500, 0.500)

## Properties
Polymorph energy (0 for the lowest one) (meV/atom): 109
VASP energy (eV/atom): -4.26
SG: R-3m

---

2.
This record from Alexandria via LeMat-Bulk describes BaMnGe3 after structural relaxation. The functional is PBE-GGA.

Cell lengths 4.791, 4.791, 4.791 Å; angles 90.00, 90.00, 90.00 degrees
Positions (direct):
Ge (0.500, 0.000, 0.000)
Mn (0.000, 0.000, 0.000)
Ge (0.000, 0.000, 0.500)
Ge (0.000, 0.500, 0.000)
Ba (0.500, 0.500, 0.500)

## Properties
VASP energy (eV/atom): -5.08
SG: Pm-3m

---

Among the records above, which one has the highest VASP energy?
TbPm2Ag